Cs3Pd2Br9 | PBE | relaxed

Computed properties:
* space-group type: P6_3/mmc (194)
* total DFT energy (no corrections): -0.2155 Ry per atom

Lattice parameters (Å, degrees): 7.6426 7.6426 19.6186 90.00 90.00 120.00
With the nearest neighbours (Å) after each atom.
Fractional positions:
1 Cs 0.0000 0.0000 0.2500  12 Br 3.82-3.85
2 Cs 0.0000 0.0000 0.7500  12 Br 3.82-3.85
3 Cs 0.3333 0.6667 0.0686  9 Br 3.80-3.85
4 Cs 0.3333 0.6667 0.4314  9 Br 3.80-3.85
5 Cs 0.6667 0.3333 0.5686  9 Br 3.80-3.85
6 Cs 0.6667 0.3333 0.9314  9 Br 3.80-3.85
7 Pd 0.3333 0.6667 0.6659  6 Br 2.55-2.64
8 Pd 0.3333 0.6667 0.8341  6 Br 2.55-2.64
9 Pd 0.6667 0.3333 0.1659  6 Br 2.55-2.64
10 Pd 0.6667 0.3333 0.3341  6 Br 2.55-2.64
11 Br 0.0210 0.5105 0.7500  2 Pd 2.64
12 Br 0.1743 0.3486 0.5927  1 Pd 2.55
13 Br 0.1743 0.3486 0.9073  1 Pd 2.55
14 Br 0.1743 0.8257 0.5927  1 Pd 2.55
15 Br 0.1743 0.8257 0.9073  1 Pd 2.55
16 Br 0.3486 0.1743 0.0927  1 Pd 2.55
17 Br 0.3486 0.1743 0.4073  1 Pd 2.55
18 Br 0.4895 0.5105 0.7500  2 Pd 2.64
19 Br 0.4895 0.9790 0.7500  2 Pd 2.64
20 Br 0.5105 0.0210 0.2500  2 Pd 2.64
21 Br 0.5105 0.4895 0.2500  2 Pd 2.64
22 Br 0.6514 0.8257 0.5927  1 Pd 2.55
23 Br 0.6514 0.8257 0.9073  1 Pd 2.55
24 Br 0.8257 0.1743 0.0927  1 Pd 2.55
25 Br 0.8257 0.1743 0.4073  1 Pd 2.55
26 Br 0.8257 0.6514 0.0927  1 Pd 2.55
27 Br 0.8257 0.6514 0.4073  1 Pd 2.55
28 Br 0.9790 0.4895 0.2500  2 Pd 2.64